# Ba2SrTc GGA-PBEsol relaxed
data_Ba2SrTc
_chemical_formula_sum 'Ba2 Sr1 Tc1'
_cell_length_a 5.181
_cell_length_b 5.181
_cell_length_c 5.073
_cell_angle_alpha 90.00
_cell_angle_beta 90.00
_cell_angle_gamma 90.00
_space_group_name_H-M_alt 'P 4/m m m'
_space_group_IT_number 123
_space_group_name_Hall '-P 4 2'
loop_
_atom_site_label
_atom_site_type_symbol
_atom_site_fract_x
_atom_site_fract_y
_atom_site_fract_z
_atom_site_occupancy
Ba1 Ba 0.000 0.500 0.000 1
Sr1 Sr 0.000 0.000 0.500 1
Tc1 Tc 0.500 0.500 0.500 1
# Spin magnetization = 0.302 μB/atom
# Volume = 34.050 A^3/atom
# E_form = 893 meV/atom



# BaSr3Te GGA-PBEsol relaxed
data_BaSr3Te
_chemical_formula_sum 'Ba1 Sr3 Te1'
_cell_length_a 6.174
_cell_length_b 6.174
_cell_length_c 6.174
_cell_angle_alpha 90.00
_cell_angle_beta 90.00
_cell_angle_gamma 90.00
_space_group_name_H-M_alt 'P m -3 m'
_space_group_IT_number 221
_space_group_name_Hall '-P 4 2 3'
loop_
_atom_site_label
_atom_site_type_symbol
_atom_site_fract_x
_atom_site_fract_y
_atom_site_fract_z
_atom_site_occupancy
Ba1 Ba 0.000 0.000 0.000 1
Sr1 Sr 0.000 0.000 0.500 1
Te1 Te 0.500 0.500 0.500 1
# Spin magnetization = 0.484 μB/atom
# E_form (uncorrected) = 62 kJ per mole of atoms
# Volume = 47.060 A^3/atom



# BaSrTe2 GGA-PBEsol relaxed
data_BaSrTe2
_chemical_formula_sum 'Ba3 Sr3 Te6'
_cell_length_a 4.8006
_cell_length_b 4.8006
_cell_length_c 23.5228
_cell_angle_alpha 90.00
_cell_angle_beta 90.00
_cell_angle_gamma 120.00
_space_group_name_H-M_alt 'R -3 m'
_space_group_IT_number 166
_space_group_name_Hall '-R 3 2"'
loop_
_atom_site_label
_atom_site_type_symbol
_atom_site_fract_x
_atom_site_fract_y
_atom_site_fract_z
_atom_site_occupancy
Ba1 Ba 0.0000 0.0000 0.0000 1
Sr1 Sr 0.0000 0.0000 0.5000 1
Te1 Te 0.0000 0.0000 0.2455 1
# Spin magnetization = 0.000 μB/atom
# E_form (uncorrected) = -168 kJ per mole of atoms
# Volume = 39.131 A^3/atom
# Excess energy over the best structure of this formula in the dataset = 0.000 eV per formula unit



# BaSrTe2 GGA-PBEsol relaxed
data_BaSrTe2
_chemical_formula_sum 'Ba3 Sr3 Te6'
_cell_length_a 4.7005
_cell_length_b 4.7005
_cell_length_c 24.5943
_cell_angle_alpha 90.00
_cell_angle_beta 90.00
_cell_angle_gamma 120.00
_space_group_name_H-M_alt 'R 3 m'
_space_group_IT_number 160
_space_group_name_Hall 'R 3 -2"'
loop_
_atom_site_label
_atom_site_type_symbol
_atom_site_fract_x
_atom_site_fract_y
_atom_site_fract_z
_atom_site_occupancy
Ba1 Ba 0.0000 0.0000 0.0000 1
Sr1 Sr 0.0000 0.0000 0.1692 1
Te1 Te 0.0000 0.0000 0.5797 1
Te2 Te 0.0000 0.0000 0.7563 1
# Spin magnetization = 0.000 μB/atom
# E_form (uncorrected) = -163 kJ per mole of atoms
# Volume = 39.217 A^3/atom
# Excess energy over the best structure of this formula in the dataset = 0.219 eV per formula unit



# Ba2SrTe2 GGA-PBEsol relaxed
data_Ba2SrTe2
_chemical_formula_sum 'Ba4 Sr2 Te4'
_cell_length_a 9.041
_cell_length_b 9.041
_cell_length_c 4.739
_cell_angle_alpha 90.00
_cell_angle_beta 90.00
_cell_angle_gamma 90.00
_space_group_name_H-M_alt 'P 4/m b m'
_space_group_IT_number 127
_space_group_name_Hall '-P 4 2ab'
loop_
_atom_site_label
_atom_site_type_symbol
_atom_site_fract_x
_atom_site_fract_y
_atom_site_fract_z
_atom_site_occupancy
Ba1 Ba 0.151 0.349 0.000 1
Sr1 Sr 0.000 0.000 0.500 1
Te1 Te 0.154 0.654 0.500 1
# Spin magnetization = 0.000 μB/atom
# E_form (uncorrected) = -133 kJ per mole of atoms
# Volume = 38.735 A^3/atom



# BaSr2Te GGA-PBEsol relaxed
data_BaSr2Te
_chemical_formula_sum 'Ba2 Sr4 Te2'
_cell_length_a 7.383
_cell_length_b 12.814
_cell_length_c 4.349
_cell_angle_alpha 90.00
_cell_angle_beta 125.07
_cell_angle_gamma 90.00
_space_group_name_H-M_alt 'C 1 2/m 1'
_space_group_IT_number 12
_space_group_name_Hall '-C 2y'
loop_
_atom_site_label
_atom_site_type_symbol
_atom_site_fract_x
_atom_site_fract_y
_atom_site_fract_z
_atom_site_occupancy
Ba1 Ba 0.000 0.000 0.000 1
Sr1 Sr 0.250 0.250 0.500 1
Te1 Te 0.000 0.500 0.000 1
# Spin magnetization = 0.000 μB/atom
# E_form (uncorrected) = -48 kJ per mole of atoms
# Volume = 42.095 A^3/atom



# BaSrTe2 GGA-PBEsol relaxed
data_BaSrTe2
_chemical_formula_sum 'Ba1 Sr1 Te2'
_cell_length_a 4.814
_cell_length_b 4.814
_cell_length_c 6.807
_cell_angle_alpha 90.00
_cell_angle_beta 90.00
_cell_angle_gamma 90.00
_space_group_name_H-M_alt 'P 4/m m m'
_space_group_IT_number 123
_space_group_name_Hall '-P 4 2'
loop_
_atom_site_label
_atom_site_type_symbol
_atom_site_fract_x
_atom_site_fract_y
_atom_site_fract_z
_atom_site_occupancy
Ba1 Ba 0.000 0.000 0.000 1
Sr1 Sr 0.500 0.500 0.500 1
Te1 Te 0.000 0.000 0.500 1
Te2 Te 0.500 0.500 0.000 1
# Spin magnetization = 0.000 μB/atom
# E_form (uncorrected) = -166 kJ per mole of atoms
# Volume = 39.433 A^3/atom
# Excess energy over the best structure of this formula in the dataset = 0.071 eV per formula unit



# BaSrTe2 GGA-PBEsol relaxed
data_BaSrTe2
_chemical_formula_sum 'Ba3 Sr3 Te6'
_cell_length_a 5.2288
_cell_length_b 5.2288
_cell_length_c 28.3743
_cell_angle_alpha 90.00
_cell_angle_beta 90.00
_cell_angle_gamma 120.00
_space_group_name_H-M_alt 'R -3 m'
_space_group_IT_number 166
_space_group_name_Hall '-R 3 2"'
loop_
_atom_site_label
_atom_site_type_symbol
_atom_site_fract_x
_atom_site_fract_y
_atom_site_fract_z
_atom_site_occupancy
Ba1 Ba 0.0000 0.0000 0.0000 1
Sr1 Sr 0.0000 0.0000 0.5000 1
Te1 Te 0.0000 0.0000 0.3944 1
# Spin magnetization = 0.000 μB/atom
# E_form (uncorrected) = -98 kJ per mole of atoms
# Volume = 55.987 A^3/atom
# Excess energy over the best structure of this formula in the dataset = 2.889 eV per formula unit



# BaSrTeW2 GGA-PBEsol relaxed
data_BaSrTeW2
_chemical_formula_sum 'Ba1 Sr1 Te1 W2'
_cell_length_a 5.253
_cell_length_b 5.253
_cell_length_c 5.971
_cell_angle_alpha 90.00
_cell_angle_beta 90.00
_cell_angle_gamma 90.00
_space_group_name_H-M_alt 'P 4/m m m'
_space_group_IT_number 123
_space_group_name_Hall '-P 4 2'
loop_
_atom_site_label
_atom_site_type_symbol
_atom_site_fract_x
_atom_site_fract_y
_atom_site_fract_z
_atom_site_occupancy
Ba1 Ba 0.000 0.000 0.000 1
Sr1 Sr 0.500 0.500 0.500 1
Te1 Te 0.500 0.500 0.000 1
W1 W 0.000 0.500 0.500 1
# Spin magnetization = 1.318 μB/atom
# E_form (uncorrected) = 213 kJ per mole of atoms
# Volume = 32.951 A^3/atom



# Ba3SrTi GGA-PBEsol relaxed
data_Ba3SrTi
_chemical_formula_sum 'Ba3 Sr1 Ti1'
_cell_length_a 6.255
_cell_length_b 6.255
_cell_length_c 6.255
_cell_angle_alpha 90.00
_cell_angle_beta 90.00
_cell_angle_gamma 90.00
_space_group_name_H-M_alt 'P m -3 m'
_space_group_IT_number 221
_space_group_name_Hall '-P 4 2 3'
loop_
_atom_site_label
_atom_site_type_symbol
_atom_site_fract_x
_atom_site_fract_y
_atom_site_fract_z
_atom_site_occupancy
Ba1 Ba 0.000 0.000 0.500 1
Sr1 Sr 0.500 0.500 0.500 1
Ti1 Ti 0.000 0.000 0.000 1
# Spin magnetization = 0.286 μB/atom
# Volume = 48.945 A^3/atom
# E_form = 545 meV/atom



# BaSrTi2 GGA-PBEsol relaxed
data_BaSrTi2
_chemical_formula_sum 'Ba4 Sr4 Ti8'
_cell_length_a 7.899
_cell_length_b 7.899
_cell_length_c 7.899
_cell_angle_alpha 90.00
_cell_angle_beta 90.00
_cell_angle_gamma 90.00
_space_group_name_H-M_alt 'F m -3 m'
_space_group_IT_number 225
_space_group_name_Hall '-F 4 2 3'
loop_
_atom_site_label
_atom_site_type_symbol
_atom_site_fract_x
_atom_site_fract_y
_atom_site_fract_z
_atom_site_occupancy
Ba1 Ba 0.000 0.000 0.000 1
Sr1 Sr 0.000 0.000 0.500 1
Ti1 Ti 0.250 0.250 0.250 1
# Spin magnetization = 1.198 μB/atom
# Volume = 30.797 A^3/atom
# E_form = 1025 meV/atom



# Ba2SrTl2 GGA-PBEsol relaxed
data_Ba2SrTl2
_chemical_formula_sum 'Ba4 Sr2 Tl4'
_cell_length_a 9.640
_cell_length_b 9.640
_cell_length_c 4.324
_cell_angle_alpha 90.00
_cell_angle_beta 90.00
_cell_angle_gamma 90.00
_space_group_name_H-M_alt 'P 4/m b m'
_space_group_IT_number 127
_space_group_name_Hall '-P 4 2ab'
loop_
_atom_site_label
_atom_site_type_symbol
_atom_site_fract_x
_atom_site_fract_y
_atom_site_fract_z
_atom_site_occupancy
Ba1 Ba 0.160 0.340 0.000 1
Sr1 Sr 0.000 0.000 0.500 1
Tl1 Tl 0.134 0.634 0.500 1
# Spin magnetization = 0.000 μB/atom
# Volume = 40.182 A^3/atom
# E_form = -347 meV/atom